This record from the Alexandria database describes a relaxed Dy2MgAl4Pd3 crystal. The functional is PBE.

Cell and atoms, written as POSCAR:
```
Dy2MgAl4Pd3
1.0
-1.432 -0.251 -3.840
-3.839 -0.187 1.444
-0.732 11.403 -0.473
Al Mg Pd Dy
4 1 3 2
Direct
0.000 0.500 0.350
0.000 0.000 0.000
0.500 0.500 0.000
0.500 0.000 0.650
0.500 0.500 0.500
0.000 0.500 0.133
0.500 0.000 0.867
0.000 0.000 0.500
0.500 0.000 0.236
0.000 0.500 0.764
```

Total moment (μB per formula unit): 0.00
Uncorrected energy (hartree per atom): -0.1781
N(E_F) (states/eV/cell): 3.89

=====

This record from the Alexandria database describes a relaxed PmDyMgAl crystal. The functional is PBE.

Cell and atoms, written as POSCAR:
```
PmDyMgAl
1.0
5.264 0.000 0.000
2.632 4.559 0.000
2.632 1.520 4.298
Mg Pm Dy Al
1 1 1 1
Direct
0.000 0.000 0.000
0.750 0.750 0.750
0.250 0.250 0.250
0.500 0.500 0.500
```

Total moment (μB per formula unit): 0.00
Uncorrected energy (hartree per atom): -0.1448
N(E_F) (states/eV/cell): 2.33

=====

This record from the Alexandria database describes a relaxed PrDyMgAl crystal. The functional is PBE.

Cell and atoms, written as POSCAR:
```
PrDyMgAl
1.0
5.304 0.000 0.000
2.652 4.593 0.000
2.652 1.531 4.330
Dy Al Mg Pr
1 1 1 1
Direct
0.250 0.250 0.250
0.500 0.500 0.500
0.000 0.000 0.000
0.750 0.750 0.750
```

Total moment (μB per formula unit): 0.00
Uncorrected energy (hartree per atom): -0.1447
N(E_F) (states/eV/cell): 2.60

=====

This record from the Alexandria database describes a relaxed Dy2MgAl2Pt5 crystal. The functional is PBE.

Cell and atoms, written as POSCAR:
```
Dy2MgAl2Pt5
1.0
-3.635 0.278 0.662
-1.902 -4.297 -8.639
0.119 -8.815 4.358
Pt Dy Al Mg
10 4 4 2
Direct
0.500 0.209 0.067
0.500 0.291 0.567
0.500 0.433 0.291
0.500 0.567 0.709
0.500 0.067 0.791
0.500 0.000 0.500
0.500 0.933 0.209
0.500 0.709 0.433
0.500 0.500 0.000
0.500 0.791 0.933
0.000 0.823 0.677
0.000 0.177 0.323
0.000 0.323 0.823
0.000 0.677 0.177
0.000 0.878 0.378
0.000 0.122 0.622
0.000 0.622 0.878
0.000 0.378 0.122
0.000 0.500 0.500
0.000 0.000 0.000
```

Total moment (μB per formula unit): 0.00
Uncorrected energy (hartree per atom): -0.2155
N(E_F) (states/eV/cell): 7.49

=====

This record from the Alexandria database describes a relaxed DyMgAl2Pt2 crystal. The functional is PBE.

Cell and atoms, written as POSCAR:
```
DyMgAl2Pt2
1.0
-2.268 -1.797 3.330
3.268 -2.261 -1.917
4.259 2.537 4.270
Dy Pt Al Mg
1 2 2 1
Direct
0.000 0.000 0.000
0.333 0.667 0.278
0.667 0.333 0.722
0.667 0.333 0.305
0.333 0.667 0.695
0.000 0.000 0.500
```

Total moment (μB per formula unit): 0.00
Uncorrected energy (hartree per atom): -0.1940
N(E_F) (states/eV/cell): 2.49

=====

This record from the Alexandria database describes a relaxed DyMg2AlPt4 crystal. The functional is PBE.

Cell and atoms, written as POSCAR:
```
DyMg2AlPt4
1.0
4.515 0.000 0.000
2.257 3.910 0.000
2.257 1.303 7.821
Mg Dy Pt Al
2 1 4 1
Direct
0.753 0.753 0.740
0.247 0.247 0.260
0.000 0.000 0.000
0.393 0.393 0.821
0.869 0.869 0.393
0.131 0.131 0.607
0.607 0.607 0.179
0.500 0.500 0.500
```

Total moment (μB per formula unit): 0.00
Uncorrected energy (hartree per atom): -0.1999
N(E_F) (states/eV/cell): 3.69